Entry 1:
VASP calculation (PBE) on a geometry-optimized PaBe4Tl3O12 structure.

```
data_PaBe4Tl3O12
_chemical_formula_sum 'Pa1 Be4 Tl3 O12'
_cell_length_a 6.588
_cell_length_b 6.588
_cell_length_c 6.588
_cell_angle_alpha 103.29
_cell_angle_beta 103.29
_cell_angle_gamma 103.29
_space_group_name_H-M_alt 'P 1'
_space_group_IT_number 1
_space_group_name_Hall 'P 1'
loop_
_atom_site_label
_atom_site_fract_x
_atom_site_fract_y
_atom_site_fract_z
_atom_site_occupancy
Pa1 0.000 0.000 0.000 1
Be1 0.948 0.052 0.500 1
Be2 0.052 0.500 0.948 1
Be3 0.500 0.948 0.052 1
Be4 0.500 0.500 0.500 1
Tl1 0.546 0.454 0.000 1
Tl2 0.454 0.000 0.546 1
Tl3 0.000 0.546 0.454 1
O1 0.500 0.353 0.647 1
O2 0.907 0.500 0.093 1
O3 0.093 0.907 0.500 1
O4 0.500 0.093 0.907 1
O5 0.327 0.973 0.180 1
O6 0.180 0.327 0.973 1
O7 0.973 0.180 0.327 1
O8 0.673 0.820 0.027 1
O9 0.027 0.673 0.820 1
O10 0.820 0.027 0.673 1
O11 0.647 0.500 0.353 1
O12 0.353 0.647 0.500 1
```

---

Entry 2:
VASP calculation (PBE) on a geometry-optimized Pa2BeTlO8 structure.

```
data_Pa2BeTlO8
_chemical_formula_sum 'Pa2 Be1 Tl1 O8'
_cell_length_a 4.758
_cell_length_b 4.758
_cell_length_c 9.085
_cell_angle_alpha 90.00
_cell_angle_beta 90.00
_cell_angle_gamma 120.00
_space_group_name_H-M_alt 'P 1'
_space_group_IT_number 1
_space_group_name_Hall 'P 1'
loop_
_atom_site_label
_atom_site_fract_x
_atom_site_fract_y
_atom_site_fract_z
_atom_site_occupancy
Pa1 0.667 0.333 0.146 1
Pa2 0.333 0.667 0.854 1
Be1 0.000 0.000 0.000 1
Tl1 0.000 0.000 0.500 1
O1 0.833 0.666 0.877 1
O2 0.334 0.167 0.877 1
O3 0.833 0.167 0.877 1
O4 0.167 0.334 0.123 1
O5 0.666 0.833 0.123 1
O6 0.167 0.833 0.123 1
O7 0.667 0.333 0.356 1
O8 0.333 0.667 0.644 1
```

---

Entry 3:
VASP calculation (PBE) on a geometry-optimized PaBeTlO4 structure.

```
data_PaBeTlO4
_chemical_formula_sum 'Pa2 Be2 Tl2 O8'
_cell_length_a 5.436
_cell_length_b 5.335
_cell_length_c 7.889
_cell_angle_alpha 90.00
_cell_angle_beta 106.64
_cell_angle_gamma 90.00
_space_group_name_H-M_alt 'P 1'
_space_group_IT_number 1
_space_group_name_Hall 'P 1'
loop_
_atom_site_label
_atom_site_fract_x
_atom_site_fract_y
_atom_site_fract_z
_atom_site_occupancy
Pa1 0.757 0.750 0.445 1
Pa2 0.243 0.250 0.555 1
Be1 0.226 0.750 0.345 1
Be2 0.774 0.250 0.655 1
Tl1 0.718 0.750 0.906 1
Tl2 0.282 0.250 0.094 1
O1 0.964 0.488 0.661 1
O2 0.036 0.988 0.339 1
O3 0.036 0.512 0.339 1
O4 0.964 0.012 0.661 1
O5 0.424 0.750 0.225 1
O6 0.576 0.250 0.775 1
O7 0.434 0.750 0.555 1
O8 0.566 0.250 0.445 1
```

---

The records above yield DOS at the Fermi energy values of 5.542, 3.232, 0.000 states/eV per cell, respectively.
The records above yield raw formation energy values of -1644, -2186, -2620 meV/atom, respectively.
The records above yield M_tot values of 0.104, 0.126, 0.000 μB per atom, respectively.